No. 1
Here is crystalline Ho12Cu6Bi at its relaxed geometry from Alexandria. Energies are from PBE.

Formation energy (kJ/mol of formula units): -420.7

a b c (Å): 8.542 8.542 8.542
angles (deg): 109.47 109.47 109.47
Fractional coordinates of all 19 atoms:
Ho  0.810  0.303  0.113
Ho  0.508  0.810  0.697
Cu  0.123  0.623  0.500
Ho  0.697  0.887  0.190
Ho  0.190  0.697  0.887
Ho  0.492  0.190  0.303
Cu  0.377  0.500  0.877
Ho  0.113  0.810  0.303
Cu  0.500  0.123  0.623
Ho  0.303  0.492  0.190
Cu  0.623  0.500  0.123
Ho  0.303  0.113  0.810
Bi  0.000  0.000  0.000
Ho  0.190  0.303  0.492
Ho  0.810  0.697  0.508
Ho  0.697  0.508  0.810
Cu  0.500  0.877  0.377
Cu  0.877  0.377  0.500
Ho  0.887  0.190  0.697


No. 2
Here is crystalline NaAl2I8 at its relaxed geometry from Alexandria. Energies are from PBE.

Offset from the most stable computed form (meV/atom): 0
Raw formation energy (eV per atom): -0.67

a b c (Å): 7.203 9.530 9.530
angles (deg): 65.76 78.66 78.66
Fractional coordinates of all 11 atoms:
I  0.682  0.184  0.184
I  0.318  0.816  0.816
I  0.743  0.109  0.708
Al  0.665  0.827  0.827
I  0.743  0.708  0.109
Al  0.335  0.173  0.173
I  0.257  0.292  0.891
I  0.884  0.677  0.677
I  0.116  0.323  0.323
Na  0.000  0.000  0.000
I  0.257  0.891  0.292


No. 3
Here is crystalline MnTc4Te at its relaxed geometry from Alexandria. Energies are from PBE.

Raw formation energy (eV per atom): 0.55

a b c (Å): 5.221 5.221 5.221
angles (deg): 60.00 60.00 60.00
Last column: magnetic moment on the atom in μB.
Fractional coordinates of all 6 atoms:
Tc  0.125  0.625  0.625  -0.03
Te  0.250  0.250  0.250  0.03
Tc  0.625  0.625  0.125  -0.03
Tc  0.625  0.125  0.625  -0.03
Tc  0.625  0.625  0.625  -0.03
Mn  0.000  0.000  0.000  3.77


No. 4
Here is crystalline KBeAsSe2 at its relaxed geometry from Alexandria. Energies are from PBE.

Offset from the most stable computed form (meV/atom): 0
Raw formation energy (eV per atom): -0.10

a b c (Å): 5.036 5.036 4.402
angles (deg): 90.00 90.00 90.00
Fractional coordinates of all 5 atoms:
Se  0.500  0.000  0.000
K  0.500  0.500  0.500
Se  0.000  0.500  0.000
As  0.000  0.000  0.500
Be  0.000  0.000  0.000


No. 5
Here is crystalline SiBiAu at its relaxed geometry from Alexandria. Energies are from PBE.

Raw formation energy (eV per atom): 0.14

a b c (Å): 4.365 4.276 4.276
angles (deg): 120.00 90.00 90.00
Fractional coordinates of all 3 atoms:
Si  0.197  0.333  0.667
Bi  0.698  0.667  0.333
Au  0.105  0.000  0.000


No. 6
Here is crystalline MnIrPt2 at its relaxed geometry from Alexandria. Energies are from PBE.

Formation energy (kJ/mol of formula units): 110.7

a b c (Å): 7.006 7.006 5.627
angles (deg): 51.50 51.50 90.00
Last column: magnetic moment on the atom in μB.
Fractional coordinates of all 8 atoms:
Pt  0.375  0.381  0.750  0.04
Pt  0.131  0.625  0.250  0.04
Mn  0.500  0.500  0.000  3.58
Ir  0.000  0.000  0.000  0.06
Pt  0.875  0.869  0.750  0.04
Ir  0.750  0.250  0.500  0.07
Pt  0.619  0.125  0.250  0.04
Mn  0.250  0.750  0.500  3.58


No. 7
Here is crystalline CaNiW2 at its relaxed geometry from Alexandria. Energies are from PBE.

Offset from the most stable computed form (meV/atom): 782
Formation energy (kJ/mol of formula units): 470.4

a b c (Å): 4.932 4.932 2.746
angles (deg): 90.00 90.00 90.00
Fractional coordinates of all 4 atoms:
W  0.000  0.000  0.000
W  0.500  0.500  0.000
Ca  0.500  0.000  0.500
Ni  0.000  0.500  0.500


No. 8
Here is crystalline TlIn2P at its relaxed geometry from Alexandria. Energies are from PBE.

Offset from the most stable computed form (meV/atom): 149
Formation energy (kJ/mol of formula units): 53.2

a b c (Å): 6.808 6.808 7.355
angles (deg): 62.43 62.43 90.00
Fractional coordinates of all 8 atoms:
In  0.375  0.421  0.750
In  0.579  0.125  0.250
P  0.250  0.750  0.500
In  0.171  0.625  0.250
P  0.500  0.500  0.000
In  0.875  0.829  0.750
Tl  0.000  0.000  0.000
Tl  0.750  0.250  0.500